# 1
FeCo3 (PBE, relaxed); symmetry = P4/mmm, No. 123; ΔE_f = 0.0240 eV/atom
1.0
2.4918 0.0000 0.0000
0.0000 2.4918 0.0000
0.0000 0.0000 7.1586
Co Fe
3 1
Direct
0.0000 0.0000 0.5070 Co
0.0000 0.0000 0.9930 Co
0.5000 0.5000 0.7500 Co
0.5000 0.5000 0.2500 Fe

# 2
Ag2OsSe (PBE, relaxed); uncorrected formation energy = 266 kJ/mol of formula units; symmetry = Cmmm, No. 65
1.0
5.4122 0.0229 0.0044
-2.6677 4.7092 0.0044
-0.0019 -0.0032 2.7073
Os Ag Se
1 2 1
Direct
0.5000 0.0000 0.5000 Os
0.5000 0.5000 0.0000 Ag
0.0000 0.0000 0.0000 Ag
0.0000 0.5000 0.5000 Se

# 3
MnInW4 (PBE, relaxed); symmetry = F-43m, No. 216; ΔE_f = 0.6043 eV/atom
1.0
-2.8663 2.2478 3.8676
-4.0527 3.2113 -1.2207
-4.9972 -1.5827 0.8655
W In Mn
4 1 1
Direct
0.3753 0.3753 0.8742 W
0.3753 0.8742 0.3753 W
0.3753 0.3753 0.3753 W
0.8742 0.3753 0.3753 W
0.7500 0.7500 0.7500 In
0.0000 0.0000 0.0000 Mn

# 4
CoSbPb2 (PBE, relaxed); uncorrected formation energy = 66 kJ/mol of formula units; energy above the lowest structure with this stoichiometry = 16 kJ/mol of formula units; symmetry = P4mm, No. 99
1.0
-1.0164 -1.3159 2.8527
0.1298 -3.0134 -1.3438
8.3272 -0.7999 2.5980
Pb Sb Co
2 1 1
Direct
0.5000 0.5000 0.2685 Pb
0.0000 0.0000 0.9425 Pb
0.0000 0.0000 0.5751 Sb
0.5000 0.5000 0.7139 Co

# 5
Rb2YFeI6 (PBE, relaxed); uncorrected formation energy = -950 kJ/mol of formula units; symmetry = Fm-3m, No. 225
1.0
-6.2763 2.8883 -4.6514
4.3832 -1.5895 -6.9015
-3.2667 -4.7593 -6.0042
Rb Fe Y I
2 1 1 6
Direct
0.2500 0.7500 0.5000 Rb
0.7500 0.2500 0.5000 Rb
0.5000 0.5000 0.0000 Fe
0.0000 0.0000 0.0000 Y
0.7426 0.2574 0.0000 I
0.2573 0.2573 0.4853 I
0.7427 0.7427 0.5147 I
0.2574 0.7426 0.0000 I
0.7426 0.7426 0.0000 I
0.2574 0.2574 0.0000 I

# 6
DyHoCdIr (PBE, relaxed); symmetry = F-43m, No. 216; ΔE_f = -0.5613 eV/atom
1.0
-1.1471 1.2758 -4.7215
1.7050 -2.7631 -3.8334
-3.1803 -2.8319 -2.6650
Ir Dy Cd Ho
1 1 1 1
Direct
0.2500 0.2500 0.2500 Ir
0.0000 0.0000 0.0000 Dy
0.7500 0.7500 0.7500 Cd
0.5000 0.5000 0.5000 Ho

# 7
ScCS2 (PBE, relaxed); uncorrected formation energy = 17 kJ/mol of formula units; symmetry = R-3m, No. 166
1.0
-0.0397 -6.5166 1.2847
3.3185 -5.3316 2.1632
0.5346 -4.8534 4.5030
Sc C S
1 1 2
Direct
0.5000 0.5000 0.5000 Sc
0.0000 0.0000 0.0000 C
0.9142 0.9142 0.9142 S
0.0858 0.0858 0.0858 S

# 8
Dy2HoAg (PBE, relaxed); energy above the lowest structure with this stoichiometry = 0 kJ/mol of formula units; symmetry = P4/mmm, No. 123; ΔE_f = -0.1292 eV/atom
1.0
-0.2146 2.9986 1.8941
-3.5355 -0.0302 -0.3527
-0.7011 -4.7459 7.4340
Ag Ho Dy
1 1 2
Direct
0.5000 0.5000 0.0000 Ag
0.5000 0.5000 0.5000 Ho
0.0000 0.0000 0.2164 Dy
0.0000 0.0000 0.7836 Dy

# 9
Pm4CoBi2 (PBE, relaxed); energy above the lowest structure with this stoichiometry = 0 kJ/mol of formula units; symmetry = I4/mmm, No. 139; ΔE_f = -0.5080 eV/atom
1.0
-4.1972 2.2673 -1.5990
-1.3809 -4.2223 -2.3621
-1.2968 -1.6233 9.0180
Pm Co Bi
4 1 2
Direct
0.5000 0.0000 0.0000 Pm
0.8310 0.8310 0.6621 Pm
0.0000 0.5000 0.0000 Pm
0.1690 0.1690 0.3379 Pm
0.0000 0.0000 0.0000 Co
0.6410 0.6410 0.2820 Bi
0.3590 0.3590 0.7180 Bi

# 10
PmHoCuRh (PBE, relaxed); energy above the lowest structure with this stoichiometry = 13 kJ/mol of formula units; symmetry = F-43m, No. 216; ΔE_f = -0.5054 eV/atom
1.0
4.9369 0.0000 0.0000
2.4684 4.2755 0.0000
2.4684 1.4252 4.0310
Cu Ho Pm Rh
1 1 1 1
Direct
0.7500 0.7500 0.7500 Cu
0.0000 0.0000 0.0000 Ho
0.5000 0.5000 0.5000 Pm
0.2500 0.2500 0.2500 Rh

# 11
NdHoMgCo (PBE, relaxed); symmetry = F-43m, No. 216; ΔE_f = 0.0368 eV/atom
1.0
5.0969 0.0000 0.0000
2.5485 4.4141 0.0000
2.5485 1.4714 4.1616
Mg Ho Co Nd
1 1 1 1
Direct
0.0000 0.0000 0.0000 Mg
0.2500 0.2500 0.2500 Ho
0.5000 0.5000 0.5000 Co
0.7500 0.7500 0.7500 Nd

# 12
MnAu2 (PBE, relaxed); energy above the lowest structure with this stoichiometry = 43 kJ/mol of formula units; symmetry = Cmcm, No. 63; ΔE_f = 0.0485 eV/atom
1.0
1.5848 -6.9287 0.0000
1.5848 6.9287 0.0000
0.0000 0.0000 4.7923
Au Mn
4 2
Direct
0.4417 0.5583 0.2500 Au
0.1251 0.8749 0.2500 Au
0.8749 0.1251 0.7500 Au
0.5583 0.4417 0.7500 Au
0.2181 0.7819 0.7500 Mn
0.7819 0.2181 0.2500 Mn

# 13
Sc2BeTl (PBE, relaxed); energy above the lowest structure with this stoichiometry = 193 kJ/mol of formula units; symmetry = F-43m, No. 216; ΔE_f = 0.3541 eV/atom
1.0
4.8458 0.0000 0.0000
2.4229 4.1965 0.0000
2.4229 1.3988 3.9565
Tl Sc Be
1 2 1
Direct
0.7500 0.7500 0.7500 Tl
0.2500 0.2500 0.2500 Sc
0.0000 0.0000 0.0000 Sc
0.5000 0.5000 0.5000 Be

# 14
TaAlB2C (PBE, relaxed); symmetry = P4/mmm, No. 123; ΔE_f = 1.1367 eV/atom
1.0
3.6351 0.0000 0.0000
0.0000 4.2115 0.0000
0.0000 0.0000 3.6351
Ta B Al C
1 2 1 1
Direct
0.0000 0.5000 0.0000 Ta
0.0000 0.0000 0.5000 B
0.5000 0.0000 0.0000 B
0.5000 0.5000 0.5000 Al
0.0000 0.0000 0.0000 C

# 15
B5C3 (PBE, relaxed); energy above the lowest structure with this stoichiometry = 48 kJ/mol of formula units; symmetry = Cm, No. 8; ΔE_f = 0.3319 eV/atom
1.0
-3.9179 0.1140 0.3010
-3.1955 -0.6518 -2.1948
0.4305 -5.8650 1.9241
B C
5 3
Direct
0.2146 0.2146 0.8278 B
0.4745 0.4745 0.5787 B
0.0068 0.0068 0.9845 B
0.5591 0.5591 0.1817 B
0.7841 0.7841 0.2899 B
0.8212 0.8212 0.8360 C
0.3858 0.3858 0.3430 C
0.0040 0.0040 0.7084 C

# 16
DyY7Er2 (PBE, relaxed); energy above the lowest structure with this stoichiometry = 0 kJ/mol of formula units; symmetry = C2/m, No. 12; ΔE_f = 0.1245 eV/atom
1.0
3.5084 0.0485 0.0297
-0.0778 10.3601 -11.0176
-0.0778 -5.1058 14.2355
Y Er Dy
7 2 1
Direct
0.2619 0.3471 0.1458 Y
0.2619 0.1458 0.3471 Y
0.0000 0.3051 0.6949 Y
0.0000 0.6949 0.3051 Y
0.7381 0.6529 0.8542 Y
0.5000 0.5000 0.5000 Y
0.7381 0.8542 0.6529 Y
0.5000 0.2052 0.7948 Er
0.5000 0.7948 0.2052 Er
0.0000 0.0000 0.0000 Dy

# 17
LiCaZn2H6 (PBE, relaxed); symmetry = R-3, No. 148
1.0
4.8142 0.0000 0.0000
2.4071 4.1693 0.0000
2.4071 1.3898 5.6029
Zn H Ca Li
2 6 1 1
Direct
0.7657 0.7657 0.7028 Zn
0.2343 0.2343 0.2972 Zn
0.2765 0.8956 0.2692 H
0.5588 0.2765 0.2692 H
0.4412 0.7235 0.7308 H
0.8956 0.5588 0.2692 H
0.7235 0.1044 0.7308 H
0.1044 0.4412 0.7308 H
0.0000 0.0000 0.0000 Ca
0.5000 0.5000 0.5000 Li

# 18
ZnRe2Ir (PBE, relaxed); energy above the lowest structure with this stoichiometry = 6 kJ/mol of formula units; symmetry = P4mm, No. 99; ΔE_f = 0.0130 eV/atom
1.0
2.8010 0.0000 0.0000
0.0000 2.8010 0.0000
0.0000 0.0000 7.4650
Zn Re Ir
1 2 1
Direct
0.0000 0.0000 0.5050 Zn
0.5000 0.5000 0.2466 Re
0.0000 0.0000 0.9981 Re
0.5000 0.5000 0.7503 Ir

# 19
LaInH2Pd (PBE, relaxed); symmetry = P4/mmm, No. 123
1.0
4.1415 0.0000 0.0000
0.0000 6.7325 0.0000
0.0000 0.0000 4.1415
Pd H In La
1 2 1 1
Direct
0.5000 0.5000 0.5000 Pd
0.5000 0.0000 0.0000 H
0.0000 0.0000 0.5000 H
0.0000 0.5000 0.0000 In
0.0000 0.0000 0.0000 La

# 20
Dy2Ho3ThSe6 (PBE, relaxed); uncorrected formation energy = -1958 kJ/mol of formula units; symmetry = C2/m, No. 12
1.0
4.0707 0.0000 0.0000
0.0000 8.2171 0.2996
-2.0354 -2.3613 8.6005
Se Dy Ho Th
6 2 3 1
Direct
0.6683 0.5845 0.3367 Se
0.3317 0.4155 0.6633 Se
0.9998 0.7374 0.9997 Se
0.3271 0.9149 0.6541 Se
0.0002 0.2626 0.0003 Se
0.6729 0.0851 0.3459 Se
0.1628 0.3274 0.3257 Dy
0.8372 0.6726 0.6743 Dy
0.1618 0.8340 0.3236 Ho
0.5000 0.5000 0.0000 Ho
0.8382 0.1660 0.6764 Ho
0.5000 0.0000 0.0000 Th

It is found that the DFT total energy values, taken in the order of the records, are -7.42 -4.41 -10.02 -4.49 -3.60 -5.30 -5.91 -4.29 -5.35 -5.70 -4.47 -5.19 -4.33 -6.50 -7.30 -5.77 -2.76 -8.74 -3.81 -5.96 eV per atom.